Density functional theory data (PBE) for a relaxed structure of Tl2In.

Results
Total energy: -14.248 eV for the cell shown
Crystal system: orthorhombic

a b c (Å): 7.5975 7.6691 3.3407
angles (deg): 90.00 90.00 90.00
Space group Pnnm (No. 58)
Asymmetric unit:
1 Tl 0.1660 0.1317 0.0000 (multiplicity 4)
2 In 0.0000 0.5000 0.0000 (multiplicity 2)